# 1
SmYRu2 after structural relaxation, computed with GGA-PBE.

The space group is P4/mmm (No. 123) and the conventional cell measures 3.439, 3.439 and 6.883 Å, with angles of 90.00, 90.00 and 90.00 degrees. The asymmetric unit holds Sm at (0.000, 0.000, 0.000), Y at (0.000, 0.000, 0.500) and Ru at (0.500, 0.500, 0.251).

The density of states at the Fermi level comes out at 5.2 states/eV/f.u. Its total energy is -0.2811 Ha/atom. The calculation puts the energy of formation from the pure elements at -0.9 eV/f.u.


# 2
SmY2Ru after structural relaxation, computed with GGA-PBE.

The space group is R-3m (No. 166, hexagonal axes) and the conventional cell measures 3.5219, 3.5219 and 32.4382 Å, with angles of 90.00, 90.00 and 120.00 degrees. The asymmetric unit holds Sm at (0.0000, 0.0000, 0.0000), Y at (0.0000, 0.0000, 0.1080) and Ru at (0.0000, 0.0000, 0.5000).

The density of states at the Fermi level comes out at 7.0 states/eV/f.u. Its total energy is -0.2426 Ha/atom. Its distance to the lowest polymorph of the same formula is 0.412 eV/atom. The calculation puts the energy of formation from the pure elements at 0.5 eV/f.u.


# 3
SmY3Ru8 after structural relaxation, computed with GGA-PBE.

The space group is R3m (No. 160, hexagonal axes) and the conventional cell measures 5.3444, 5.3444 and 26.3496 Å, with angles of 90.00, 90.00 and 120.00 degrees. The asymmetric unit holds Sm at (0.0000, 0.0000, 0.0000), Y at (0.0000, 0.0000, 0.3751), Y at (0.0000, 0.0000, 0.4998), Y at (0.0000, 0.0000, 0.8749), Ru at (0.0000, 0.0000, 0.1871), Ru at (0.0000, 0.0000, 0.6872), Ru at (0.0020, 0.5010, 0.4380) and Ru at (0.1670, 0.3340, 0.2701).

The density of states at the Fermi level comes out at 15.2 states/eV/f.u. Its total energy is -0.3108 Ha/atom. The calculation puts the energy of formation from the pure elements at -3.2 eV/f.u.


# 4
Sm3Y2Ru2 after structural relaxation, computed with GGA-PBE.

The space group is C2/m (No. 12) and the conventional cell measures 12.066, 3.944 and 8.629 Å, with angles of 90.00, 113.82 and 90.00 degrees. The asymmetric unit holds Sm at (0.000, 0.000, 0.000), Sm at (0.120, 0.000, 0.429), Y at (0.168, 0.500, 0.813) and Ru at (0.180, 0.500, 0.225).

The density of states at the Fermi level comes out at 5.7 states/eV/f.u. Its total energy is -0.2493 Ha/atom. The calculation puts the energy of formation from the pure elements at -1.8 eV/f.u.


# 5
SmYRu4 after structural relaxation, computed with GGA-PBE.

The space group is F-43m (No. 216) and the conventional cell measures 7.590, 7.590 and 7.590 Å, with angles of 90.00, 90.00 and 90.00 degrees. The asymmetric unit holds Sm at (0.000, 0.000, 0.000), Y at (0.250, 0.250, 0.750) and Ru at (0.125, 0.125, 0.375).

The density of states at the Fermi level comes out at 6.6 states/eV/f.u. Its total energy is -0.3047 Ha/atom. The calculation puts the energy of formation from the pure elements at -1.5 eV/f.u.


# 6
SmYRu after structural relaxation, computed with GGA-PBE.

The space group is P2_1/m (No. 11) and the conventional cell measures 7.618, 4.370 and 13.422 Å, with angles of 90.00, 91.24 and 90.00 degrees. The asymmetric unit holds Sm at (0.024, 0.250, 0.212), Sm at (0.360, 0.750, 0.579), Sm at (0.471, 0.750, 0.881), Y at (0.017, 0.250, 0.593), Y at (0.151, 0.250, 0.958), Y at (0.369, 0.750, 0.294), Ru at (0.241, 0.250, 0.416), Ru at (0.242, 0.750, 0.086) and Ru at (0.268, 0.250, 0.754).

The density of states at the Fermi level comes out at 1.4 states/eV/f.u. Its total energy is -0.2600 Ha/atom. Its distance to the lowest polymorph of the same formula is 0.000 eV/atom. The calculation puts the energy of formation from the pure elements at -0.8 eV/f.u.